## i
DFT (PBE) results for crystalline PuMnS2 at its relaxed geometry.

Calculated values
Size of the total moment, μB/f.u.: 10.57
DOS(E_F), states/eV/cell: 10.54
Crystal system: trigonal
Space-group type: R3m

Structure (extended XYZ):
```
4
Lattice="4.077 0.000 -0.001 2.039 3.531 0.001 2.038 1.176 7.112" Properties=species:S:1:pos:R:3 pbc="T T T"
S 2.738 2.627 3.660
Mn 2.736 2.628 1.257
S 2.737 0.275 0.615
Pu 4.777 1.450 4.983
```

## ii
DFT (PBE) results for crystalline PuMnS2 at its relaxed geometry.

Calculated values
Size of the total moment, μB/f.u.: 9.22
DOS(E_F), states/eV/cell: 6.45
Crystal system: trigonal
Space-group type: R-3m

Structure (extended XYZ):
```
4
Lattice="4.939 0.000 0.000 2.469 4.277 0.000 2.469 1.426 3.415" Properties=species:S:1:pos:R:3 pbc="T T T"
S 2.469 1.426 0.679
S 7.408 4.277 2.736
Pu 0.000 0.000 0.000
Mn 4.939 2.852 1.708
```

Q: Which of them is the least stable? A: i.

## i
DFT (PBE) results for crystalline PuMnSe2 at its relaxed geometry.

Calculated values
Size of the total moment, μB/f.u.: 10.54
DOS(E_F), states/eV/cell: 7.81
Crystal system: trigonal
Space-group type: R-3m

Structure (extended XYZ):
```
4
Lattice="-1.826 0.078 -3.241 -2.445 -2.682 -0.823 -7.671 3.713 2.276" Properties=species:S:1:pos:R:3 pbc="T T T"
Se -6.337 -1.088 -2.864
Se -5.605 2.198 1.075
Mn -5.971 0.555 -0.894
Pu 0.000 0.000 0.000
```

## ii
DFT (PBE) results for crystalline PuMnSe2 at its relaxed geometry.

Calculated values
Size of the total moment, μB/f.u.: 1.00
DOS(E_F), states/eV/cell: 13.37
Crystal system: monoclinic
Space-group type: Cm

Structure (extended XYZ):
```
4
Lattice="4.323 0.001 -0.004 2.163 3.746 -0.001 2.156 1.248 7.301" Properties=species:S:1:pos:R:3 pbc="T T T"
Se 2.898 0.292 0.669
Pu 5.066 1.540 5.133
Se 2.903 2.789 3.790
Mn 2.901 2.789 1.193
```

Q: Which of them is the least stable? A: i.

## i
DFT (PBE) results for crystalline SmPuMn at its relaxed geometry.

Calculated values
Size of the total moment, μB/f.u.: 0.66
DOS(E_F), states/eV/cell: 9.33
Crystal system: triclinic
Space-group type: P-1

Structure (extended XYZ):
```
6
Lattice="3.264 0.378 0.107 -1.232 3.217 -0.297 -0.069 -3.270 11.864" Properties=species:S:1:pos:R:3 pbc="T T T"
Mn 1.652 1.463 3.549
Mn 0.311 -1.138 8.126
Pu 0.202 -0.635 5.234
Sm -0.281 2.723 1.421
Sm 2.244 -2.399 10.254
Pu 1.760 0.960 6.441
```

## ii
DFT (PBE) results for crystalline SmPuMn at its relaxed geometry.

Calculated values
Size of the total moment, μB/f.u.: 3.31
DOS(E_F), states/eV/cell: 5.55
Crystal system: tetragonal
Space-group type: I4mm

Structure (extended XYZ):
```
3
Lattice="-2.577 -0.812 2.199 2.342 -1.054 2.354 0.307 6.182 -0.116" Properties=species:S:1:pos:R:3 pbc="T T T"
Mn -0.044 1.087 3.109
Pu 0.113 3.121 1.285
Sm 0.004 0.107 0.044
```

Q: Which of them is the least stable? A: i.

## i
DFT (PBE) results for crystalline SmPu2Mn at its relaxed geometry.

Calculated values
Size of the total moment, μB/f.u.: 0.00
DOS(E_F), states/eV/cell: 8.27
Crystal system: trigonal
Space-group type: R-3m

Structure (extended XYZ):
```
4
Lattice="-3.639 2.060 0.922 -3.484 -0.626 -2.409 -3.895 -3.675 2.783" Properties=species:S:1:pos:R:3 pbc="T T T"
Mn 0.000 0.000 0.000
Sm -5.509 -1.120 0.648
Pu -8.599 -2.598 1.697
Pu -2.419 0.357 -0.400
```

## ii
DFT (PBE) results for crystalline SmPu2Mn at its relaxed geometry.

Calculated values
Size of the total moment, μB/f.u.: 8.72
DOS(E_F), states/eV/cell: 11.32
Crystal system: tetragonal
Space-group type: P4/mmm

Structure (extended XYZ):
```
4
Lattice="-1.302 1.147 2.866 -1.264 -3.036 0.640 7.329 -2.167 4.196" Properties=species:S:1:pos:R:3 pbc="T T T"
Mn -1.283 -0.944 1.753
Pu 5.929 -1.753 3.395
Pu 1.401 -0.414 0.802
Sm 2.382 -2.028 3.851
```

Q: Which of them is the least stable? A: i.